Arrangement A

DFT (PBE) results for a relaxed KMgHg crystal.

Lattice parameters (Å, degrees): 7.628 7.628 7.628 90.00 90.00 90.00
Positions (direct):
K  0.000  0.000  0.000
K  0.000  0.500  0.500
K  0.500  0.000  0.500
K  0.500  0.500  0.000
Mg  0.000  0.000  0.500
Mg  0.000  0.500  0.000
Mg  0.500  0.000  0.000
Mg  0.500  0.500  0.500
Hg  0.250  0.250  0.250
Hg  0.250  0.750  0.750
Hg  0.750  0.250  0.750
Hg  0.750  0.750  0.250

Output
DOS at the Fermi energy   0.77 states/eV per atom

=====

Arrangement B

DFT (PBE) results for a relaxed KMgHg crystal.

Lattice parameters (Å, degrees): 8.022 8.022 8.022 90.00 90.00 90.00
Positions (direct):
K  0.000  0.000  0.000
K  0.000  0.500  0.500
K  0.500  0.000  0.500
K  0.500  0.500  0.000
Mg  0.250  0.250  0.750
Mg  0.250  0.750  0.250
Mg  0.750  0.250  0.250
Mg  0.750  0.750  0.750
Hg  0.250  0.250  0.250
Hg  0.250  0.750  0.750
Hg  0.750  0.250  0.750
Hg  0.750  0.750  0.250

Output
DOS at the Fermi energy   0.74 states/eV per atom

=====

Stability, descending: arrangement A, arrangement B

=====

Arrangement A

DFT (PBE) results for a relaxed KMgHg crystal.

Lattice parameters (Å, degrees): 3.919 3.919 12.757 90.00 90.00 90.00
Positions (direct):
K  0.000  0.000  0.000
K  0.500  0.500  0.500
Mg  0.000  0.000  0.278
Mg  0.500  0.500  0.778
Hg  0.000  0.000  0.703
Hg  0.500  0.500  0.203

Output
DOS at the Fermi energy   0.37 states/eV per atom

=====

Arrangement B

DFT (PBE) results for a relaxed KMgHg crystal.

Lattice parameters (Å, degrees): 5.165 5.165 4.368 90.00 90.00 120.00
Positions (direct):
K  0.000  0.000  0.000
Mg  0.667  0.333  0.503
Hg  0.333  0.667  0.500

Output
DOS at the Fermi energy   0.49 states/eV per atom

=====

Stability, descending: arrangement A, arrangement B

=====

Arrangement A

DFT (PBE) results for a relaxed K2MgHg2 crystal.

Lattice parameters (Å, degrees): 7.880 7.880 5.599 90.00 90.00 90.00
Positions (direct):
K  0.174  0.326  0.000
K  0.326  0.826  0.000
K  0.674  0.174  0.000
K  0.826  0.674  0.000
Mg  0.000  0.000  0.500
Mg  0.500  0.500  0.500
Hg  0.139  0.639  0.500
Hg  0.361  0.139  0.500
Hg  0.639  0.861  0.500
Hg  0.861  0.361  0.500

Output
DOS at the Fermi energy   0.55 states/eV per atom

=====

Arrangement B

DFT (PBE) results for a relaxed K2MgHg2 crystal.

Lattice parameters (Å, degrees): 5.248 5.248 14.415 90.00 90.00 90.00
Positions (direct):
K  0.000  0.500  0.250
K  0.000  0.500  0.750
K  0.500  0.000  0.250
K  0.500  0.000  0.750
Mg  0.000  0.000  0.000
Mg  0.500  0.500  0.500
Hg  0.000  0.000  0.402
Hg  0.000  0.000  0.598
Hg  0.500  0.500  0.098
Hg  0.500  0.500  0.902

Output
DOS at the Fermi energy   0.61 states/eV per atom

=====

Arrangement C

DFT (PBE) results for a relaxed K2MgHg2 crystal.

Lattice parameters (Å, degrees): 7.122 7.122 8.340 99.72 99.72 59.36
Positions (direct):
K  0.020  0.271  0.134
K  0.271  0.020  0.634
K  0.729  0.980  0.366
K  0.980  0.729  0.866
Mg  0.417  0.583  0.250
Mg  0.583  0.417  0.750
Hg  0.219  0.501  0.490
Hg  0.499  0.781  0.010
Hg  0.501  0.219  0.990
Hg  0.781  0.499  0.510

Output
DOS at the Fermi energy   0.44 states/eV per atom

=====

Arrangement D

DFT (PBE) results for a relaxed K2MgHg2 crystal.

Lattice parameters (Å, degrees): 10.255 10.255 3.506 90.00 90.00 90.00
Positions (direct):
K  0.184  0.316  0.000
K  0.316  0.816  0.000
K  0.684  0.184  0.000
K  0.816  0.684  0.000
Mg  0.000  0.000  0.000
Mg  0.500  0.500  0.000
Hg  0.109  0.609  0.500
Hg  0.391  0.109  0.500
Hg  0.609  0.891  0.500
Hg  0.891  0.391  0.500

Output
DOS at the Fermi energy   0.54 states/eV per atom

=====

Stability, descending: arrangement C, arrangement A, arrangement D, arrangement B

=====

Arrangement A

DFT (PBE) results for a relaxed K2RbMgHg crystal.

Lattice parameters (Å, degrees): 7.083 7.083 5.453 90.00 90.00 90.00
Positions (direct):
K  0.000  0.500  0.000
K  0.500  0.000  0.000
Rb  0.000  0.000  0.500
Mg  0.500  0.500  0.000
Hg  0.500  0.500  0.500

Output
DOS at the Fermi energy   0.65 states/eV per atom

=====

Arrangement B

DFT (PBE) results for a relaxed K2RbMgHg crystal.

Lattice parameters (Å, degrees): 6.863 6.863 5.506 90.00 90.00 90.00
Positions (direct):
K  0.000  0.500  0.000
K  0.500  0.000  0.000
Rb  0.000  0.000  0.500
Mg  0.500  0.500  0.500
Hg  0.500  0.500  0.000

Output
DOS at the Fermi energy   0.54 states/eV per atom

=====

Stability, descending: arrangement B, arrangement A

=====

Arrangement A

DFT (PBE) results for a relaxed KMgHg2Sb crystal.

Lattice parameters (Å, degrees): 5.630 5.630 5.455 90.00 90.00 90.00
Positions (direct):
K  0.000  0.000  0.000
Mg  0.500  0.500  0.500
Hg  0.000  0.500  0.500
Hg  0.500  0.000  0.500
Sb  0.500  0.500  0.000

Output
DOS at the Fermi energy   0.34 states/eV per atom

=====

Arrangement B

DFT (PBE) results for a relaxed KMgHg2Sb crystal.

Lattice parameters (Å, degrees): 5.897 5.897 6.678 90.00 90.00 90.00
Positions (direct):
K  0.000  0.000  0.000
Mg  0.500  0.500  0.000
Hg  0.000  0.500  0.500
Hg  0.500  0.000  0.500
Sb  0.000  0.000  0.500

Output
DOS at the Fermi energy   0.27 states/eV per atom

=====

Stability, descending: arrangement A, arrangement B

=====

Arrangement A

DFT (PBE) results for a relaxed KMnHg2 crystal.

Lattice parameters (Å, degrees): 7.422 7.422 7.422 90.00 90.00 90.00
Positions (direct):
K  0.000  0.000  0.000
K  0.000  0.500  0.500
K  0.500  0.000  0.500
K  0.500  0.500  0.000
Mn  0.250  0.250  0.750
Mn  0.250  0.750  0.250
Mn  0.750  0.250  0.250
Mn  0.750  0.750  0.750
Hg  0.000  0.000  0.500
Hg  0.000  0.500  0.000
Hg  0.250  0.250  0.250
Hg  0.250  0.750  0.750
Hg  0.500  0.000  0.000
Hg  0.500  0.500  0.500
Hg  0.750  0.250  0.750
Hg  0.750  0.750  0.250

Output
DOS at the Fermi energy   0.46 states/eV per atom

=====

Arrangement B

DFT (PBE) results for a relaxed KMnHg2 crystal.

Lattice parameters (Å, degrees): 8.348 4.809 6.783 90.00 113.86 90.00
Positions (direct):
K  0.000  0.000  0.000
K  0.500  0.500  0.000
Mn  0.313  0.500  0.446
Mn  0.813  0.000  0.446
Hg  0.188  0.000  0.575
Hg  0.467  0.000  0.410
Hg  0.688  0.500  0.575
Hg  0.967  0.500  0.410

Output
DOS at the Fermi energy   0.43 states/eV per atom

=====

Arrangement C

DFT (PBE) results for a relaxed KMnHg2 crystal.

Lattice parameters (Å, degrees): 4.660 4.660 9.916 90.00 90.00 90.00
Positions (direct):
K  0.000  0.000  0.000
K  0.500  0.500  0.500
Mn  0.000  0.500  0.750
Mn  0.500  0.000  0.250
Hg  0.000  0.000  0.500
Hg  0.000  0.500  0.250
Hg  0.500  0.000  0.750
Hg  0.500  0.500  0.000

Output
DOS at the Fermi energy   0.71 states/eV per atom

=====

Stability, descending: arrangement B, arrangement C, arrangement A

=====

Arrangement A

DFT (PBE) results for a relaxed KMnHg crystal.

Lattice parameters (Å, degrees): 4.728 4.728 5.062 90.00 90.00 120.00
Positions (direct):
K  0.000  0.000  0.000
Mn  0.333  0.667  0.500
Hg  0.667  0.333  0.500

Output
DOS at the Fermi energy   0.96 states/eV per atom

=====

Arrangement B

DFT (PBE) results for a relaxed KMnHg crystal.

Lattice parameters (Å, degrees): 7.395 7.395 7.395 90.00 90.00 90.00
Positions (direct):
K  0.000  0.000  0.000
K  0.000  0.500  0.500
K  0.500  0.000  0.500
K  0.500  0.500  0.000
Mn  0.000  0.000  0.500
Mn  0.000  0.500  0.000
Mn  0.500  0.000  0.000
Mn  0.500  0.500  0.500
Hg  0.250  0.250  0.750
Hg  0.250  0.750  0.250
Hg  0.750  0.250  0.250
Hg  0.750  0.750  0.750

Output
DOS at the Fermi energy   1.13 states/eV per atom

=====

Stability, descending: arrangement A, arrangement B

=====

Arrangement A

DFT (PBE) results for a relaxed KMnHg crystal.

Lattice parameters (Å, degrees): 3.585 3.942 12.560 90.00 90.00 90.00
Positions (direct):
K  0.000  0.000  0.000
K  0.500  0.500  0.500
Mn  0.000  0.000  0.726
Mn  0.500  0.500  0.226
Hg  0.000  0.000  0.286
Hg  0.500  0.500  0.786

Output
DOS at the Fermi energy   0.38 states/eV per atom

=====

Arrangement B

DFT (PBE) results for a relaxed KMnHg crystal.

Lattice parameters (Å, degrees): 7.781 7.781 7.781 90.00 90.00 90.00
Positions (direct):
K  0.000  0.000  0.000
K  0.000  0.500  0.500
K  0.500  0.000  0.500
K  0.500  0.500  0.000
Mn  0.250  0.250  0.250
Mn  0.250  0.750  0.750
Mn  0.750  0.250  0.750
Mn  0.750  0.750  0.250
Hg  0.250  0.250  0.750
Hg  0.250  0.750  0.250
Hg  0.750  0.250  0.250
Hg  0.750  0.750  0.750

Output
DOS at the Fermi energy   1.26 states/eV per atom

=====

Stability, descending: arrangement A, arrangement B